SmTl2WO8 | GGA+U | relaxed

Calculated values
Total energy: -0.2297 hartree per atom
Total magnetization: 1.1 μB/cell
Calculated volume: 177.7 Å³/cell

Cell: 5.0863 6.8690 5.0878 Å, 90.00 90.86 90.00°
Space group P2/m (No. 10)
Inequivalent atoms, fractional coordinates:
Sm (0.0000, 0.0000, 0.0000) (multiplicity 1)
Tl (0.5000, 0.2566, 0.5000) (multiplicity 2)
W (0.0000, 0.5000, 0.0000) (multiplicity 1)
O (0.1801, 0.2909, 0.8204) (multiplicity 4)
O (0.2796, 0.5000, 0.2799) (multiplicity 2)
O (0.3111, 0.0000, 0.3127) (multiplicity 2)